No. 1
A relaxed Li2CuNiO4 crystal. Source: the Alexandria database, functional PBE+U.

Summary:
Electronic total energy, eV/atom: -4.93
Spin magnetization, Bohr magnetons per cell: 2.977
Fermi-level density of states, states/eV/cell: 4.080

a b c (Å): 2.9168 5.0767 5.0947
angles (deg): 70.17 90.00 90.00
With the nearest neighbours (Å) after each atom.
Atoms (fractional coordinates):
1 Cu 0.0000 0.5000 0.5000  6 O 1.97-2.01
2 O 0.0000 0.2482 0.2794  1 Cu 1.97, 2 Ni 2.00, 3 Li 2.13-2.20
3 O 0.5000 0.2637 0.7352  2 Cu 2.01, 1 Ni 2.08, 3 Li 2.09-2.12
4 Ni 0.5000 0.0000 0.5000  6 O 2.00-2.08
5 O 0.5000 0.7363 0.2648  2 Cu 2.01, 1 Ni 2.08, 3 Li 2.09-2.12
6 Li 0.0000 0.0000 0.0000  6 O 2.12-2.20
7 O 0.0000 0.7518 0.7206  1 Cu 1.97, 2 Ni 2.00, 3 Li 2.13-2.20
8 Li 0.5000 0.5000 0.0000  6 O 2.09-2.13


No. 2
A relaxed Li2CuNiO4 crystal. Source: the Alexandria database, functional PBE+U.

Summary:
Electronic total energy, eV/atom: -4.95
Spin magnetization, Bohr magnetons per cell: 0.733
Fermi-level density of states, states/eV/cell: 2.590

a b c (Å): 4.0814 4.0814 5.0757
angles (deg): 113.71 113.71 90.00
With the nearest neighbours (Å) after each atom.
Atoms (fractional coordinates):
1 Ni 0.7500 0.2500 0.5000  6 O 1.94-2.05
2 Li 0.2500 0.7500 0.5000  6 O 2.05-2.24
3 Li 0.0000 0.0000 0.0000  6 O 2.05-2.27
4 O 0.7284 0.7284 0.4567  1 Cu 1.91, 2 Li 2.05, 2 Ni 2.05
5 O 0.9821 0.4821 0.9642  1 Ni 1.94, 2 Li 2.05, 2 Cu 2.05
6 O 0.5179 0.0179 0.0358  1 Ni 1.94, 2 Li 2.05, 2 Cu 2.05
7 Cu 0.5000 0.5000 0.0000  6 O 1.91-2.05
8 O 0.2716 0.2716 0.5433  1 Cu 1.91, 2 Li 2.05, 2 Ni 2.05


No. 3
A relaxed Li3CuNi2O6 crystal. Source: the Alexandria database, functional PBE+U.

Summary:
Electronic total energy, eV/atom: -4.91
Spin magnetization, Bohr magnetons per cell: 4.038
Fermi-level density of states, states/eV/cell: 2.315

a b c (Å): 6.6740 6.6740 5.8006
angles (deg): 77.40 77.40 24.75
With the nearest neighbours (Å) after each atom.
Atoms (fractional coordinates):
1 Li 0.8367 0.8367 0.8285  6 O 2.06-2.23
2 Li 0.5000 0.5000 0.5000  6 O 2.11-2.14
3 O 0.0012 0.0012 0.2327  2 Cu 1.97, 3 Li 2.06-2.11, 1 Ni 2.12
4 O 0.3322 0.3322 0.5631  3 Ni 1.94-2.12, 3 Li 2.11-2.14
5 Ni 0.1655 0.1655 0.6641  6 O 1.94-2.12
6 O 0.6615 0.6615 0.8945  2 Ni 1.95, 1 Cu 2.06, 2 Li 2.15
7 Li 0.1633 0.1633 0.1715  6 O 2.06-2.23
8 O 0.6678 0.6678 0.4369  3 Ni 1.94-2.12, 3 Li 2.11-2.14
9 O 0.9988 0.9988 0.7673  2 Cu 1.97, 3 Li 2.06-2.11, 1 Ni 2.12
10 Cu 0.5000 0.5000 0.0000  6 O 1.97-2.06
11 Ni 0.8345 0.8345 0.3359  6 O 1.94-2.12
12 O 0.3385 0.3385 0.1055  2 Ni 1.95, 1 Cu 2.06, 2 Li 2.15


No. 4
A relaxed Li3CuNi4O8 crystal. Source: the Alexandria database, functional PBE+U.

Summary:
Electronic total energy, eV/atom: -4.89
Spin magnetization, Bohr magnetons per cell: 7.988
Fermi-level density of states, states/eV/cell: 7.212

a b c (Å): 5.8705 5.8705 5.8775
angles (deg): 89.69 59.94 59.74
With the nearest neighbours (Å) after each atom.
Atoms (fractional coordinates):
1 O 0.5160 0.7370 0.2210  1 Cu 1.98, 2 Ni 2.01, 3 Li 2.14-2.19
2 Ni 0.0000 0.5000 0.0000  6 O 2.00-2.08
3 Li 0.0000 0.0000 0.5000  6 O 2.09-2.14
4 Ni 0.5000 0.0000 0.0000  6 O 2.00-2.08
5 Li 0.5000 0.5000 0.5000  6 O 2.09-2.14
6 O 0.4999 0.7434 0.7574  1 Cu 2.01, 3 Ni 2.07-2.08, 2 Li 2.09-2.13
7 O 0.5001 0.2566 0.2426  1 Cu 2.01, 3 Ni 2.07-2.08, 2 Li 2.09-2.13
8 Li 0.5000 0.0000 0.5000  6 O 2.13-2.19
9 O 0.9836 0.7500 0.7663  4 Ni 2.00-2.08, 2 Li 2.14
10 Ni 0.0000 0.5000 0.5000  6 O 2.07-2.08
11 Ni 0.0000 0.0000 0.0000  6 O 2.07-2.08
12 Cu 0.5000 0.5000 0.0000  6 O 1.98-2.01
13 O 0.4840 0.2630 0.7790  1 Cu 1.98, 2 Ni 2.01, 3 Li 2.14-2.19
14 O 0.9860 0.2573 0.7574  1 Cu 2.01, 3 Ni 2.07-2.08, 2 Li 2.09-2.13
15 O 0.0164 0.2500 0.2337  4 Ni 2.00-2.08, 2 Li 2.14
16 O 0.0140 0.7427 0.2426  1 Cu 2.01, 3 Ni 2.07-2.08, 2 Li 2.09-2.13


No. 5
A relaxed Li4Cu2Ni5O12 crystal. Source: the Alexandria database, functional PBE+U.

Summary:
Electronic total energy, eV/atom: -4.89
Spin magnetization, Bohr magnetons per cell: 12.058
Fermi-level density of states, states/eV/cell: 1.081

a b c (Å): 5.3022 8.5618 9.5850
angles (deg): 90.00 97.22 90.00
With the nearest neighbours (Å) after each atom.
Atoms (fractional coordinates):
1 Li 0.7510 0.9148 0.9908  5 O 2.05-2.18
2 O 0.1170 0.1098 0.6328  1 Cu 1.87, 1 Ni 1.95
3 Cu 0.0007 0.7383 0.2547  4 O 1.86-1.87
4 O 0.1186 0.5829 0.1440  1 Cu 1.86, 1 Ni 1.96
5 Ni 0.0080 0.0786 0.2485  6 O 2.01-2.11
6 O 0.4006 0.9135 0.8611  1 Cu 1.84, 1 Ni 1.97
7 O 0.6427 0.0816 0.1446  1 Cu 1.87, 2 Ni 1.95-2.06
8 O 0.4356 0.2510 0.8773  2 Ni 1.88-1.89, 2 Li 1.97-2.04
9 Ni 0.5058 0.9116 0.2477  4 O 1.90-1.96
10 O 0.9120 0.4187 0.8689  1 Cu 1.87, 1 Ni 1.96, 1 Li 2.05
11 Li 0.4812 0.4257 0.7381  5 O 2.03-2.13
12 Ni 0.4920 0.5786 0.2515  6 O 2.01-2.11
13 O 0.0644 0.7510 0.6227  2 Ni 1.88-1.89, 2 Li 1.97-2.04
14 O 0.9260 0.2519 0.3849  3 Ni 1.92-2.06, 2 Li 2.10-2.13
15 O 0.6396 0.6074 0.6379  1 Cu 1.87, 2 Ni 1.93-2.09, 1 Li 2.06
16 O 0.6132 0.3945 0.1315  1 Cu 1.87, 1 Ni 1.98
17 O 0.3769 0.3888 0.3590  1 Cu 1.86, 2 Ni 1.97-2.06
18 O 0.5740 0.7519 0.1151  3 Ni 1.92-2.06, 2 Li 2.10-2.13
19 O 0.8573 0.5816 0.3554  1 Cu 1.87, 2 Ni 1.95-2.06
20 O 0.9326 0.7470 0.8875  2 Ni 1.88-1.94, 3 Li 2.00-2.05
21 Ni 0.2473 0.2557 0.5023  5 O 1.88-2.10
22 Cu 0.4993 0.2383 0.2453  4 O 1.86-1.87
23 O 0.0658 0.2575 0.1203  3 Ni 1.90-2.01, 1 Li 2.00
24 Li 0.7545 0.0910 0.5089  4 O 2.00-2.14
25 Li 0.2521 0.3885 0.9942  4 O 1.97-2.18
26 O 0.8604 0.1074 0.8621  1 Cu 1.87, 2 Ni 1.93-2.09, 1 Li 2.06
27 Cu 0.9993 0.2576 0.7528  4 O 1.84-1.87
28 Ni 0.2527 0.7557 0.9977  5 O 1.88-2.10
29 Cu 0.5007 0.7576 0.7472  4 O 1.84-1.87
30 Li 0.0188 0.9257 0.7619  5 O 2.03-2.13
31 Li 0.7455 0.5910 0.9911  4 O 2.00-2.14
32 O 0.1231 0.8888 0.1410  1 Cu 1.86, 2 Ni 1.97-2.06
33 O 0.4342 0.7575 0.3797  3 Ni 1.90-2.01, 1 Li 2.00
34 Ni 0.7529 0.7514 0.5045  4 O 1.88-1.98
35 Ni 0.7471 0.2514 0.9955  4 O 1.88-1.98
36 O 0.3814 0.0829 0.3560  1 Cu 1.86, 1 Ni 1.96
37 Li 0.7490 0.4148 0.5092  5 O 2.05-2.18
38 O 0.8868 0.8945 0.3685  1 Cu 1.87, 1 Ni 1.98
39 O 0.5674 0.2470 0.6125  2 Ni 1.88-1.94, 3 Li 2.00-2.05
40 Ni 0.9942 0.4116 0.2523  4 O 1.90-1.96
41 Li 0.2479 0.8885 0.5058  4 O 1.97-2.18
42 O 0.0994 0.4135 0.6389  1 Cu 1.84, 1 Ni 1.97
43 O 0.5880 0.9187 0.6311  1 Cu 1.87, 1 Ni 1.96, 1 Li 2.05
44 Ni 0.0030 0.5912 0.7509  5 O 1.89-2.09
45 O 0.3830 0.6098 0.8672  1 Cu 1.87, 1 Ni 1.95
46 Ni 0.4970 0.0912 0.7491  5 O 1.89-2.09


No. 6
A relaxed Li5Cu5Ni2O12 crystal. Source: the Alexandria database, functional PBE+U.

Summary:
Electronic total energy, eV/atom: -4.94
Spin magnetization, Bohr magnetons per cell: 1.972
Fermi-level density of states, states/eV/cell: 5.853

a b c (Å): 5.0841 5.0841 9.7074
angles (deg): 84.70 84.70 120.41
With the nearest neighbours (Å) after each atom.
Atoms (fractional coordinates):
1 O 0.4436 0.2833 0.8869  2 Cu 1.96-2.01, 1 Ni 2.04, 2 Li 2.13-2.18
2 Cu 0.0781 0.9219 0.0000  6 O 1.96-2.10
3 O 0.1462 0.6453 0.8760  3 Cu 2.01-2.07, 1 Ni 2.13, 2 Li 2.18-2.19
4 O 0.9493 0.7541 0.3803  2 Cu 1.94-1.98, 1 Ni 2.03, 2 Li 2.11-2.15
5 O 0.2459 0.0507 0.6197  2 Cu 1.94-1.98, 1 Ni 2.03, 2 Li 2.11-2.15
6 Cu 0.5823 0.4177 0.5000  6 O 1.94-2.02
7 Cu 0.5093 0.9996 0.7450  5 O 1.97-2.09
8 O 0.3547 0.8538 0.1240  3 Cu 2.01-2.07, 1 Ni 2.13, 2 Li 2.18-2.19
9 O 0.7167 0.5564 0.1131  2 Cu 1.96-2.01, 1 Ni 2.04, 2 Li 2.13-2.18
10 Li 0.9139 0.0861 0.5000  6 O 2.04-2.21
11 O 0.7764 0.9566 0.8766  3 Cu 2.01-2.10, 1 Ni 2.06, 2 Li 2.14
12 Li 0.6658 0.8262 0.2562  6 O 2.02-2.18
13 Ni 0.7478 0.2522 0.0000  6 O 2.04-2.13
14 O 0.8569 0.3717 0.6259  2 Cu 1.97-2.02, 3 Li 2.03-2.13, 1 Ni 2.10
15 O 0.0434 0.2236 0.1234  3 Cu 2.01-2.10, 1 Ni 2.06, 2 Li 2.14
16 O 0.2983 0.4615 0.3824  2 Cu 2.01-2.09, 1 Ni 2.01, 3 Li 2.02-2.06
17 Cu 0.0004 0.4907 0.2550  5 O 1.97-2.09
18 Li 0.8300 0.6695 0.7432  6 O 2.03-2.19
19 O 0.5385 0.7017 0.6176  2 Cu 2.01-2.09, 1 Ni 2.01, 3 Li 2.02-2.06
20 Li 0.1738 0.3342 0.7438  6 O 2.02-2.18
21 Li 0.3305 0.1700 0.2568  6 O 2.03-2.19
22 O 0.6283 0.1431 0.3741  2 Cu 1.97-2.02, 3 Li 2.03-2.13, 1 Ni 2.10
23 Ni 0.2533 0.7467 0.5000  6 O 2.01-2.10
24 Cu 0.4165 0.5835 0.0000  6 O 2.01-2.03


Q: Which of these has the lowest Fermi-level density of states?
A: Li4Cu2Ni5O12